No. 1
Compound: Ca3Be
Source: Alexandria via LeMat-Bulk
Functional: GGA-PBE
Structure: relaxed

Summary:
energy relative to the elements	20.51	kJ per mole of atoms
magnetic moment	0.0	μB/cell
raw total energy	-2.220	eV/atom
DOS(E_F)	4.68	states/eV/f.u.

Geometry as CIF:
```
data_Ca3Be
_symmetry_space_group_name_H-M 'P 4/m m m'
_symmetry_Int_Tables_number 123
_symmetry_space_group_name_Hall '-P 4 2'
_cell_length_a 3.642
_cell_length_b 3.642
_cell_length_c 9.476
_cell_angle_alpha 90.00
_cell_angle_beta 90.00
_cell_angle_gamma 90.00
loop_
_atom_site_label
_atom_site_type_symbol
_atom_site_fract_x
_atom_site_fract_y
_atom_site_fract_z
_atom_site_occupancy
Ca1 Ca 0.000 0.000 0.000 1
Ca2 Ca 0.500 0.500 0.321 1
Be1 Be 0.000 0.000 0.500 1
```



No. 2
Compound: CaBe
Source: Alexandria via LeMat-Bulk
Functional: GGA-PBE
Structure: relaxed

Summary:
energy relative to the elements	65.77	kJ per mole of atoms
magnetic moment	0.0	μB/cell
raw total energy	-2.182	eV/atom
DOS(E_F)	2.80	states/eV/f.u.

Geometry as CIF:
```
data_CaBe
_symmetry_space_group_name_H-M 'I -4 3 m'
_symmetry_Int_Tables_number 217
_symmetry_space_group_name_Hall 'I -4 2 3'
_cell_length_a 8.277
_cell_length_b 8.277
_cell_length_c 8.277
_cell_angle_alpha 90.00
_cell_angle_beta 90.00
_cell_angle_gamma 90.00
loop_
_atom_site_label
_atom_site_type_symbol
_atom_site_fract_x
_atom_site_fract_y
_atom_site_fract_z
_atom_site_occupancy
Ca1 Ca 0.211 0.211 0.789 1
Be1 Be 0.091 0.091 0.091 1
```



No. 3
Compound: Ca5Be
Source: Alexandria via LeMat-Bulk
Functional: GGA-PBE
Structure: relaxed

Summary:
energy relative to the elements	14.35	kJ per mole of atoms
magnetic moment	0.0	μB/cell
raw total energy	-2.140	eV/atom
DOS(E_F)	6.86	states/eV/f.u.

Geometry as CIF:
```
data_Ca5Be
_symmetry_space_group_name_H-M 'P 4/m m m'
_symmetry_Int_Tables_number 123
_symmetry_space_group_name_Hall '-P 4 2'
_cell_length_a 3.701
_cell_length_b 3.701
_cell_length_c 15.265
_cell_angle_alpha 90.00
_cell_angle_beta 90.00
_cell_angle_gamma 90.00
loop_
_atom_site_label
_atom_site_type_symbol
_atom_site_fract_x
_atom_site_fract_y
_atom_site_fract_z
_atom_site_occupancy
Ca1 Ca 0.000 0.000 0.000 1
Ca2 Ca 0.000 0.000 0.390 1
Ca3 Ca 0.500 0.500 0.194 1
Be1 Be 0.500 0.500 0.500 1
```



Look up the magnetic moment of the third one.
0.0 μB/cell



The highest DOS(E_F) belongs to which entry?
Ca5Be